Crystalline ScTaRe at its relaxed geometry. Source: the Alexandria database, functional GGA-PBE.

a = 6.4216 Å, b = 5.5038 Å, c = 5.1912 Å
α = 73.74°, β = 55.36°, γ = 50.90°
Positions (direct):
Sc  0.1752  0.8248  0.1752
Sc  0.8248  0.1752  0.8248
Ta  0.3262  0.3262  0.6738
Ta  0.6738  0.6738  0.3262
Re  0.2500  0.2500  0.2500
Re  0.7500  0.7500  0.7500

## Properties
Offset from the most stable computed form (meV/atom): 85
Final energy (eV/cell): -61.43
ρ (g/cm³): 11.772
ΔE_f (kcal/mol of atoms): -0.62
Total magnetization (Bohr magnetons per cell): 0.00